1.
Tc2NiAg after structural relaxation, computed with GGA-PBE.

The structure in POSCAR format:
```
Tc2NiAg
1.0
3.1190 0.0000 0.0000
0.0000 3.1190 0.0000
0.0000 0.0000 6.1091
Tc Ni Ag
2 1 1
Direct
0.0000 0.0000 0.1967 Tc
0.0000 0.0000 0.8033 Tc
0.5000 0.5000 0.0000 Ni
0.5000 0.5000 0.5000 Ag
```

offset from the most stable computed form: 273 meV per atom
formation enthalpy at 0 K: 0.46 eV/atom

2.
ThMnTcC3 after structural relaxation, computed with GGA-PBE.

The structure in POSCAR format:
```
ThMnTcC3
1.0
5.9442 0.0000 0.0000
0.0000 3.3806 0.0000
-2.5964 0.0000 7.3520
Th Mn Tc C
2 2 2 6
Direct
0.0164 0.2500 0.2289 Th
0.9836 0.7500 0.7711 Th
0.4656 0.7500 0.1145 Mn
0.5344 0.2500 0.8855 Mn
0.3874 0.7500 0.5932 Tc
0.6126 0.2500 0.4068 Tc
0.2320 0.2500 0.6480 C
0.2985 0.2500 0.0151 C
0.3495 0.7500 0.3290 C
0.6505 0.2500 0.6710 C
0.7015 0.7500 0.9849 C
0.7680 0.7500 0.3520 C
```

formation enthalpy at 0 K: -0.01 eV/atom

3.
Cr2CuTc after structural relaxation, computed with GGA-PBE.

The structure in POSCAR format:
```
Cr2CuTc
1.0
2.4866 0.0000 0.0000
0.0000 4.1818 0.0000
-0.8607 0.0000 4.8442
Cr Cu Tc
2 1 1
Direct
0.2175 0.0000 0.2397 Cr
0.7825 0.0000 0.7603 Cr
0.5000 0.5000 0.0000 Cu
0.0000 0.5000 0.5000 Tc
```

formation enthalpy at 0 K: 0.24 eV/atom

4.
Pr4PuSe4 after structural relaxation, computed with GGA-PBE.

The structure in POSCAR format:
```
Pr4PuSe4
1.0
-4.6532 4.6532 2.9981
4.6532 -4.6532 2.9981
4.6532 4.6532 -2.9981
Pr Pu Se
4 1 4
Direct
0.0965 0.2955 0.3920 Pr
0.2955 0.9035 0.1990 Pr
0.7045 0.0965 0.8010 Pr
0.9035 0.7045 0.6080 Pr
0.5000 0.5000 0.0000 Pu
0.2068 0.5945 0.8013 Se
0.4055 0.2068 0.6123 Se
0.5945 0.7932 0.3877 Se
0.7932 0.4055 0.1987 Se
```

uncorrected formation energy: -1222 meV/atom

5.
YbPm3 after structural relaxation, computed with GGA-PBE.

The structure in POSCAR format:
```
YbPm3
1.0
5.1554 0.0000 0.0000
0.0000 5.1554 0.0000
0.0000 0.0000 10.3301
Yb Pm
2 6
Direct
0.0000 0.0000 0.0000 Yb
0.5000 0.5000 0.5000 Yb
0.0000 0.0000 0.5000 Pm
0.0000 0.5000 0.2500 Pm
0.0000 0.5000 0.7500 Pm
0.5000 0.0000 0.2500 Pm
0.5000 0.0000 0.7500 Pm
0.5000 0.5000 0.0000 Pm
```

offset from the most stable computed form: 0 meV per atom
formation enthalpy at 0 K: 0.00 eV/atom

6.
BaCdGa3 after structural relaxation, computed with GGA-PBE.

The structure in POSCAR format:
```
BaCdGa3
1.0
5.3002 0.0000 0.0000
0.0000 5.3002 0.0000
0.0000 0.0000 5.3002
Ba Cd Ga
1 1 3
Direct
0.0000 0.0000 0.0000 Ba
0.5000 0.5000 0.5000 Cd
0.0000 0.5000 0.5000 Ga
0.5000 0.0000 0.5000 Ga
0.5000 0.5000 0.0000 Ga
```

formation enthalpy at 0 K: 0.05 eV/atom

7.
BaBiAs3 after structural relaxation, computed with GGA-PBE.

The structure in POSCAR format:
```
BaBiAs3
1.0
5.6875 0.0000 0.0000
0.0000 5.6875 0.0000
0.0000 0.0000 5.6875
Ba Bi As
1 1 3
Direct
0.0000 0.0000 0.0000 Ba
0.5000 0.5000 0.5000 Bi
0.0000 0.0000 0.5000 As
0.0000 0.5000 0.0000 As
0.5000 0.0000 0.0000 As
```

offset from the most stable computed form: 956 meV per atom
formation enthalpy at 0 K: 1.09 eV/atom

8.
PIrSe2 after structural relaxation, computed with GGA-PBE.

The structure in POSCAR format:
```
PIrSe2
1.0
2.8658 0.0000 0.0000
0.0000 5.1247 0.0000
0.0000 0.0000 9.5899
P Ir Se
2 2 4
Direct
0.0000 0.0000 0.0000 P
0.5000 0.5000 0.0000 P
0.0000 0.0000 0.5000 Ir
0.5000 0.5000 0.5000 Ir
0.0000 0.5000 0.2742 Se
0.0000 0.5000 0.7258 Se
0.5000 0.0000 0.2742 Se
0.5000 0.0000 0.7258 Se
```

uncorrected formation energy: 656 meV/atom

9.
Ba3P2I after structural relaxation, computed with GGA-PBE.

The structure in POSCAR format:
```
Ba3P2I
1.0
8.6104 0.0000 0.0000
-4.3052 7.4568 0.0000
0.0000 0.0000 7.8632
Ba P I
6 4 2
Direct
0.0000 0.3974 0.2500 Ba
0.0000 0.6026 0.7500 Ba
0.3974 0.0000 0.2500 Ba
0.3974 0.3974 0.7500 Ba
0.6026 0.0000 0.7500 Ba
0.6026 0.6026 0.2500 Ba
0.3333 0.6667 0.0000 P
0.3333 0.6667 0.5000 P
0.6667 0.3333 0.0000 P
0.6667 0.3333 0.5000 P
0.0000 0.0000 0.2500 I
0.0000 0.0000 0.7500 I
```

uncorrected formation energy: -1074 meV/atom

10.
Tb2Pm4HoTm after structural relaxation, computed with GGA-PBE.

The structure in POSCAR format:
```
Tb2Pm4HoTm
1.0
5.0866 0.0000 0.0000
0.0000 5.1067 0.0000
0.0000 0.0000 10.0744
Tb Pm Ho Tm
2 4 1 1
Direct
0.0000 0.0000 0.0000 Tb
0.5000 0.5000 0.5000 Tb
0.0000 0.5000 0.2492 Pm
0.0000 0.5000 0.7508 Pm
0.5000 0.0000 0.2496 Pm
0.5000 0.0000 0.7504 Pm
0.0000 0.0000 0.5000 Ho
0.5000 0.5000 0.0000 Tm
```

formation enthalpy at 0 K: 0.02 eV/atom

11.
AgPdAu2F6 after structural relaxation, computed with GGA-PBE.

The structure in POSCAR format:
```
AgPdAu2F6
1.0
5.0230 0.0000 0.0000
0.0000 6.5717 0.0000
-4.8944 0.0000 9.5767
Ag Pd Au F
2 2 4 12
Direct
0.0000 0.0000 0.0000 Ag
0.0000 0.5000 0.5000 Ag
0.5000 0.0000 0.5000 Pd
0.5000 0.5000 0.0000 Pd
0.3387 0.0028 0.8408 Au
0.3387 0.4972 0.3408 Au
0.6613 0.5028 0.6592 Au
0.6613 0.9972 0.1592 Au
0.1801 0.1674 0.5081 F
0.1801 0.3326 0.0081 F
0.1994 0.7057 0.8324 F
0.1994 0.7943 0.3324 F
0.4755 0.1968 0.3443 F
0.4755 0.3032 0.8443 F
0.5245 0.6968 0.1557 F
0.5245 0.8032 0.6557 F
0.8006 0.2057 0.6676 F
0.8006 0.2943 0.1676 F
0.8199 0.6674 0.9919 F
0.8199 0.8326 0.4919 F
```

uncorrected formation energy: -903 meV/atom

12.
Dy3BeGe4 after structural relaxation, computed with GGA-PBE.

The structure in POSCAR format:
```
Dy3BeGe4
1.0
4.3491 0.0000 0.0000
0.0000 5.7186 0.0000
0.0000 0.0000 14.4550
Dy Be Ge
6 2 8
Direct
0.0000 0.0000 0.0000 Dy
0.0000 0.5000 0.1918 Dy
0.0000 0.5000 0.8082 Dy
0.5000 0.0000 0.3082 Dy
0.5000 0.0000 0.6918 Dy
0.5000 0.5000 0.5000 Dy
0.0000 0.0000 0.5000 Be
0.5000 0.5000 0.0000 Be
0.0000 0.2801 0.3805 Ge
0.0000 0.2801 0.6195 Ge
0.0000 0.7199 0.3805 Ge
0.0000 0.7199 0.6195 Ge
0.5000 0.2199 0.1195 Ge
0.5000 0.2199 0.8805 Ge
0.5000 0.7801 0.1195 Ge
0.5000 0.7801 0.8805 Ge
```

formation enthalpy at 0 K: -0.52 eV/atom

13.
As2PbCl after structural relaxation, computed with GGA-PBE.

The structure in POSCAR format:
```
As2PbCl
1.0
7.1335 0.0000 0.0000
0.0000 7.1335 0.0000
0.0000 0.0000 7.1335
As Pb Cl
8 4 4
Direct
0.0000 0.0000 0.0000 As
0.0000 0.5000 0.5000 As
0.2500 0.2500 0.2500 As
0.2500 0.7500 0.7500 As
0.5000 0.0000 0.5000 As
0.5000 0.5000 0.0000 As
0.7500 0.2500 0.7500 As
0.7500 0.7500 0.2500 As
0.0000 0.0000 0.5000 Pb
0.0000 0.5000 0.0000 Pb
0.5000 0.0000 0.0000 Pb
0.5000 0.5000 0.5000 Pb
0.2500 0.2500 0.7500 Cl
0.2500 0.7500 0.2500 Cl
0.7500 0.2500 0.2500 Cl
0.7500 0.7500 0.7500 Cl
```

uncorrected formation energy: 92 meV/atom

14.
ZnIr2Pb after structural relaxation, computed with GGA-PBE.

The structure in POSCAR format:
```
ZnIr2Pb
1.0
6.5048 0.0000 0.0000
0.0000 6.5048 0.0000
0.0000 0.0000 6.5048
Zn Ir Pb
4 8 4
Direct
0.0000 0.0000 0.0000 Zn
0.0000 0.5000 0.5000 Zn
0.5000 0.0000 0.5000 Zn
0.5000 0.5000 0.0000 Zn
0.0000 0.0000 0.5000 Ir
0.0000 0.5000 0.0000 Ir
0.2500 0.2500 0.2500 Ir
0.2500 0.7500 0.7500 Ir
0.5000 0.0000 0.0000 Ir
0.5000 0.5000 0.5000 Ir
0.7500 0.2500 0.7500 Ir
0.7500 0.7500 0.2500 Ir
0.2500 0.2500 0.7500 Pb
0.2500 0.7500 0.2500 Pb
0.7500 0.2500 0.2500 Pb
0.7500 0.7500 0.7500 Pb
```

offset from the most stable computed form: 267 meV per atom
formation enthalpy at 0 K: 0.48 eV/atom

15.
YRhO after structural relaxation, computed with GGA-PBE.

The structure in POSCAR format:
```
YRhO
1.0
4.6944 0.0000 0.0000
0.0000 4.6862 0.0000
-0.4961 0.0000 8.2677
Y Rh O
4 4 4
Direct
0.2346 0.0000 0.3235 Y
0.2654 0.5000 0.6765 Y
0.7346 0.5000 0.3235 Y
0.7654 0.0000 0.6765 Y
0.2413 0.0000 0.9373 Rh
0.2587 0.5000 0.0627 Rh
0.7413 0.5000 0.9373 Rh
0.7587 0.0000 0.0627 Rh
0.2377 0.5000 0.3899 O
0.2623 0.0000 0.6101 O
0.7377 0.0000 0.3899 O
0.7623 0.5000 0.6101 O
```

uncorrected formation energy: -1848 meV/atom

16.
SeBr2 after structural relaxation, computed with GGA-PBE.

The structure in POSCAR format:
```
SeBr2
1.0
9.5515 0.0000 0.0000
0.0000 4.9916 0.0000
-3.4583 0.0000 10.8228
Se Br
4 8
Direct
0.2230 0.0000 0.0206 Se
0.2770 0.5000 0.9794 Se
0.7230 0.5000 0.0206 Se
0.7770 0.0000 0.9794 Se
0.0649 0.5000 0.8077 Br
0.1223 0.0000 0.4972 Br
0.3777 0.5000 0.5028 Br
0.4351 0.0000 0.1923 Br
0.5649 0.0000 0.8077 Br
0.6223 0.5000 0.4972 Br
0.8777 0.0000 0.5028 Br
0.9351 0.5000 0.1923 Br
```

uncorrected formation energy: 74 meV/atom
offset from the most stable computed form: 82 meV per atom

17.
BaPmGe4 after structural relaxation, computed with GGA-PBE.

The structure in POSCAR format:
```
BaPmGe4
1.0
4.1370 0.0000 0.0000
0.0000 8.2301 0.0000
0.0000 0.0000 9.1021
Ba Pm Ge
2 2 8
Direct
0.0000 0.0000 0.0000 Ba
0.5000 0.5000 0.5000 Ba
0.0000 0.0000 0.5000 Pm
0.5000 0.5000 0.0000 Pm
0.0000 0.3398 0.2301 Ge
0.0000 0.3398 0.7699 Ge
0.0000 0.6602 0.2301 Ge
0.0000 0.6602 0.7699 Ge
0.5000 0.1602 0.2699 Ge
0.5000 0.1602 0.7301 Ge
0.5000 0.8398 0.2699 Ge
0.5000 0.8398 0.7301 Ge
```

offset from the most stable computed form: 30 meV per atom
formation enthalpy at 0 K: -0.49 eV/atom

18.
Ce6Co after structural relaxation, computed with GGA-PBE.

The structure in POSCAR format:
```
Ce6Co
1.0
11.2377 0.0000 0.0000
0.0000 10.0331 0.0000
0.0000 0.0000 6.0297
Ce Co
24 4
Direct
0.0062 0.0377 0.2189 Ce
0.0062 0.4623 0.2189 Ce
0.0451 0.7500 0.3447 Ce
0.1937 0.2500 0.1118 Ce
0.2150 0.0781 0.6255 Ce
0.2150 0.4219 0.6255 Ce
0.2850 0.5781 0.1255 Ce
0.2850 0.9219 0.1255 Ce
0.3063 0.7500 0.6118 Ce
0.4549 0.2500 0.8447 Ce
0.4938 0.5377 0.7189 Ce
0.4938 0.9623 0.7189 Ce
0.5062 0.0377 0.2811 Ce
0.5062 0.4623 0.2811 Ce
0.5451 0.7500 0.1553 Ce
0.6937 0.2500 0.3882 Ce
0.7150 0.0781 0.8745 Ce
0.7150 0.4219 0.8745 Ce
0.7850 0.5781 0.3745 Ce
0.7850 0.9219 0.3745 Ce
0.8063 0.7500 0.8882 Ce
0.9549 0.2500 0.6553 Ce
0.9938 0.5377 0.7811 Ce
0.9938 0.9623 0.7811 Ce
0.1242 0.7500 0.9115 Co
0.3758 0.2500 0.4115 Co
0.6242 0.7500 0.5885 Co
0.8758 0.2500 0.0885 Co
```

formation enthalpy at 0 K: 0.03 eV/atom

19.
TmIn2Ga after structural relaxation, computed with GGA-PBE.

The structure in POSCAR format:
```
TmIn2Ga
1.0
3.3817 0.0000 0.0000
-1.6908 2.9286 0.0000
0.0000 0.0000 32.7456
Tm In Ga
3 6 3
Direct
0.0000 0.0000 0.0000 Tm
0.3333 0.6667 0.6667 Tm
0.6667 0.3333 0.3333 Tm
0.0000 0.0000 0.0949 In
0.0000 0.0000 0.9051 In
0.3333 0.6667 0.5718 In
0.3333 0.6667 0.7616 In
0.6667 0.3333 0.2384 In
0.6667 0.3333 0.4282 In
0.0000 0.0000 0.5000 Ga
0.3333 0.6667 0.1667 Ga
0.6667 0.3333 0.8333 Ga
```

offset from the most stable computed form: 521 meV per atom
formation enthalpy at 0 K: 0.13 eV/atom

20.
TbTh4 after structural relaxation, computed with GGA-PBE.

The structure in POSCAR format:
```
TbTh4
1.0
5.6956 0.0000 0.0000
0.0000 5.6956 0.0000
0.0000 0.0000 5.6956
Tb Th
1 4
Direct
0.0000 0.0000 0.0000 Tb
0.0000 0.0000 0.5000 Th
0.0000 0.5000 0.0000 Th
0.5000 0.0000 0.0000 Th
0.5000 0.5000 0.5000 Th
```

offset from the most stable computed form: 935 meV per atom
formation enthalpy at 0 K: 0.99 eV/atom

| no. | calculated volume (Å³ per cell) | size of the total moment (μB per atom) |
| --- | --- | --- |
| 1 | 59 | 0.000 |
| 2 | 148 | 0.080 |
| 3 | 50 | 0.000 |
| 4 | 260 | 0.005 |
| 5 | 275 | 0.000 |
| 6 | 149 | 0.000 |
| 7 | 184 | 0.000 |
| 8 | 141 | 0.000 |
| 9 | 505 | 0.000 |
| 10 | 262 | 0.000 |
| 11 | 316 | 0.104 |
| 12 | 360 | 0.000 |
| 13 | 363 | 0.000 |
| 14 | 275 | 0.000 |
| 15 | 182 | 0.073 |
| 16 | 516 | 0.000 |
| 17 | 310 | 0.000 |
| 18 | 680 | 0.000 |
| 19 | 324 | 0.000 |
| 20 | 185 | 0.000 |